1.
The following is a PBE calculation of a geometry-optimized Cu2Ag structure, from the Alexandria database.

```
Cu2Ag
1.0
-2.387 2.387 4.095
2.387 -2.387 4.095
2.387 2.387 -4.095
Cu Ag
4 2
Direct
0.685 0.185 0.869
0.185 0.315 0.500
0.815 0.685 0.500
0.315 0.815 0.131
0.750 0.750 0.000
0.250 0.250 0.000
```

- total energy (eV per atom) = -3.4310
- SG = I4/mcm, No. 140
- E_form (meV per atom) = 250

2.
The following is a PBE calculation of a geometry-optimized SrGaAu structure, from the Alexandria database.

```
SrGaAu
1.0
6.865 0.000 0.000
0.000 6.865 0.000
0.000 0.000 6.865
Ga Au Sr
4 4 4
Direct
0.326 0.674 0.174
0.174 0.326 0.674
0.674 0.174 0.326
0.826 0.826 0.826
0.425 0.425 0.425
0.075 0.575 0.925
0.925 0.075 0.575
0.575 0.925 0.075
0.136 0.136 0.136
0.636 0.364 0.864
0.364 0.864 0.636
0.864 0.636 0.364
```

- total energy (eV per atom) = -3.2935
- SG = P2_13, No. 198
- E_form (meV per atom) = -631

3.
The following is a PBE calculation of a geometry-optimized Nd8GaSe4S3 structure, from the Alexandria database.

```
Nd8GaSe4S3
1.0
8.327 0.000 0.000
0.000 8.429 0.064
-4.163 -4.160 5.892
Nd Ga Se S
8 1 4 3
Direct
0.246 0.736 0.990
0.246 0.736 0.492
0.257 0.270 0.513
0.744 0.736 0.990
0.256 0.264 0.010
0.743 0.730 0.487
0.754 0.264 0.508
0.754 0.264 0.010
0.000 0.500 0.000
0.500 0.000 0.000
0.500 0.000 0.500
0.000 0.000 0.000
0.000 0.000 0.500
0.500 0.500 0.000
0.500 0.500 0.500
0.000 0.500 0.500
```

- total energy (eV per atom) = -5.9864
- formation energy from raw total energies (meV per atom) = -1768
- SG = R-3m, No. 166

4.
The following is a PBE calculation of a geometry-optimized Dy2ErThAs4 structure, from the Alexandria database.

```
Dy2ErThAs4
1.0
4.155 0.000 0.000
0.000 7.179 -0.143
0.000 2.526 6.714
Dy Er Th As
2 1 1 4
Direct
0.000 0.000 0.000
0.500 0.000 0.500
0.000 0.500 0.500
0.500 0.500 0.000
0.000 0.755 0.744
0.000 0.245 0.256
0.500 0.751 0.254
0.500 0.249 0.746
```

- total energy (eV per atom) = -6.4820
- SG = P2/m, No. 10
- E_form (meV per atom) = -1509

5.
The following is a PBE calculation of a geometry-optimized Al2TlHg structure, from the Alexandria database.

```
Al2TlHg
1.0
-3.023 -0.687 0.900
0.822 -2.692 -1.581
3.067 -3.530 7.607
Tl Hg Al
1 1 2
Direct
0.500 0.500 0.750
0.500 0.500 0.250
0.000 0.000 0.021
0.000 0.000 0.479
```

- total energy (eV per atom) = -2.2820
- SG = Cmmm, No. 65
- E_form (meV per atom) = 256

6.
The following is a PBE calculation of a geometry-optimized MnAlFe structure, from the Alexandria database.

```
MnAlFe
1.0
-1.325 2.467 -2.943
0.895 -3.871 -0.845
-2.440 -0.680 0.529
Mn Fe Al
1 1 1
Direct
0.333 0.667 0.599
0.667 0.333 0.391
0.000 0.000 0.010
```

- total energy (eV per atom) = -7.2585
- SG = P3m1, No. 156
- E_form (meV per atom) = -134